Run w
The following is a PBE-GGA calculation of a geometry-optimized KTa3O structure, from the Alexandria database.

Structure (POSCAR):
```
KTa3O
1.0
4.445 0.000 0.000
0.000 4.445 0.000
0.000 0.000 4.445
K Ta O
1 3 1
Direct
0.000 0.000 0.000
0.000 0.500 0.500
0.500 0.000 0.500
0.500 0.500 0.000
0.500 0.500 0.500
```

---

Run x
The following is a PBE-GGA calculation of a geometry-optimized KTa3O structure, from the Alexandria database.

Structure (POSCAR):
```
KTa3O
1.0
4.620 0.000 0.000
0.000 4.620 0.000
0.000 0.000 4.620
K Ta O
1 3 1
Direct
0.000 0.000 0.000
0.000 0.000 0.500
0.000 0.500 0.000
0.500 0.000 0.000
0.500 0.500 0.500
```

---

Energies relative to the most stable structure, in kJ/mol of atoms: run w 0.0; run x 284.2.

---

Run w
The following is a PBE-GGA calculation of a geometry-optimized KTa2O2 structure, from the Alexandria database.

Structure (POSCAR):
```
KTa2O2
1.0
9.258 0.000 0.000
0.000 9.258 0.000
0.000 0.000 2.780
K Ta O
2 4 4
Direct
0.000 0.000 0.000
0.500 0.500 0.000
0.096 0.404 0.500
0.404 0.904 0.500
0.596 0.096 0.500
0.904 0.596 0.500
0.090 0.590 0.000
0.410 0.090 0.000
0.590 0.910 0.000
0.910 0.410 0.000
```

---

Run x
The following is a PBE-GGA calculation of a geometry-optimized KTa2O2 structure, from the Alexandria database.

Structure (POSCAR):
```
KTa2O2
1.0
-1.831 1.831 6.568
1.831 -1.831 6.568
1.831 1.831 -6.568
K Ta O
1 2 2
Direct
0.000 0.000 0.000
0.250 0.750 0.500
0.750 0.250 0.500
0.358 0.358 0.000
0.642 0.642 0.000
```

---

Energies relative to the most stable structure, in kJ/mol of atoms: run w 77.2; run x 0.0.

---

Run w
The following is a PBE-GGA calculation of a geometry-optimized KTcO2 structure, from the Alexandria database.

Structure (POSCAR):
```
KTcO2
1.0
-2.572 2.572 5.359
2.572 -2.572 5.359
2.572 2.572 -5.359
K Tc O
2 2 4
Direct
0.000 0.000 0.000
0.750 0.250 0.500
0.250 0.750 0.500
0.500 0.500 0.000
0.262 0.625 0.137
0.375 0.512 0.637
0.488 0.125 0.863
0.875 0.738 0.363
```

---

Run x
The following is a PBE-GGA calculation of a geometry-optimized KTcO2 structure, from the Alexandria database.

Structure (POSCAR):
```
KTcO2
1.0
1.585 0.915 7.167
-1.585 0.915 7.167
0.000 -1.830 7.167
K Tc O
1 1 2
Direct
0.000 0.000 0.000
0.500 0.500 0.500
0.418 0.418 0.418
0.582 0.582 0.582
```

---

Energies relative to the most stable structure, in kJ/mol of atoms: run w 0.0; run x 4.2.

---

Run w
The following is a PBE-GGA calculation of a geometry-optimized KTcO2 structure, from the Alexandria database.

Structure (POSCAR):
```
KTcO2
1.0
0.000 2.848 2.848
2.848 0.000 2.848
2.848 2.848 0.000
K Tc O
1 1 2
Direct
0.000 0.000 0.000
0.500 0.500 0.500
0.250 0.250 0.250
0.750 0.750 0.750
```

---

Run x
The following is a PBE-GGA calculation of a geometry-optimized KTcO2 structure, from the Alexandria database.

Structure (POSCAR):
```
KTcO2
1.0
1.459 0.842 7.293
-1.459 0.842 7.293
0.000 -1.685 7.293
K Tc O
1 1 2
Direct
0.000 0.000 0.000
0.500 0.500 0.500
0.108 0.108 0.108
0.892 0.892 0.892
```

---

Energies relative to the most stable structure, in kJ/mol of atoms: run w 75.7; run x 0.0.

---

Run w
The following is a PBE-GGA calculation of a geometry-optimized K2TcO5 structure, from the Alexandria database.

Structure (POSCAR):
```
K2TcO5
1.0
-3.168 3.168 4.039
3.168 -3.168 4.039
3.168 3.168 -4.039
K Tc O
2 1 5
Direct
0.000 0.500 0.500
0.500 0.000 0.500
0.227 0.227 0.000
0.011 0.011 0.000
0.097 0.097 0.608
0.097 0.489 0.000
0.489 0.097 0.000
0.489 0.489 0.392
```

---

Run x
The following is a PBE-GGA calculation of a geometry-optimized K2TcO5 structure, from the Alexandria database.

Structure (POSCAR):
```
K2TcO5
1.0
4.282 -4.735 0.000
4.282 4.735 0.000
-3.427 0.000 4.201
K Tc O
2 1 5
Direct
0.225 0.775 0.000
0.775 0.225 0.000
0.499 0.499 0.536
0.257 0.257 0.162
0.379 0.752 0.556
0.479 0.479 0.839
0.752 0.379 0.556
0.753 0.753 0.619
```

---

Energies relative to the most stable structure, in kJ/mol of atoms: run w 4.7; run x 0.0.

---

Run w
The following is a PBE-GGA calculation of a geometry-optimized K2Te2O7 structure, from the Alexandria database.

Structure (POSCAR):
```
K2Te2O7
1.0
-3.773 5.251 4.021
3.773 -5.251 4.021
3.773 5.251 -4.021
K Te O
4 4 14
Direct
0.000 0.000 0.000
0.500 0.000 0.000
0.500 0.000 0.500
0.500 0.500 0.500
0.000 0.000 0.500
0.000 0.500 0.000
0.000 0.500 0.500
0.500 0.500 0.000
0.045 0.222 0.423
0.045 0.622 0.822
0.091 0.841 0.250
0.282 0.701 0.582
0.300 0.222 0.678
0.300 0.622 0.077
0.381 0.299 0.082
0.619 0.701 0.918
0.700 0.378 0.923
0.700 0.778 0.322
0.718 0.299 0.418
0.909 0.159 0.750
0.955 0.378 0.178
0.955 0.778 0.577
```

---

Run x
The following is a PBE-GGA calculation of a geometry-optimized K2Te2O7 structure, from the Alexandria database.

Structure (POSCAR):
```
K2Te2O7
1.0
3.272 -3.790 0.000
3.272 3.790 0.000
0.000 0.000 6.376
K Te O
2 2 7
Direct
0.235 0.235 0.000
0.765 0.765 0.000
0.279 0.721 0.500
0.721 0.279 0.500
0.000 0.000 0.500
0.000 0.500 0.303
0.000 0.500 0.697
0.500 0.000 0.303
0.500 0.000 0.697
0.500 0.500 0.313
0.500 0.500 0.687
```

---

Energies relative to the most stable structure, in kJ/mol of atoms: run w 0.0; run x 28.3.

---

Run w
The following is a PBE-GGA calculation of a geometry-optimized K2Te2O5 structure, from the Alexandria database.

Structure (POSCAR):
```
K2Te2O5
1.0
7.905 0.000 0.000
0.000 15.474 0.000
-0.341 0.000 5.603
K Te O
8 8 20
Direct
0.119 0.180 0.241
0.119 0.320 0.741
0.376 0.067 0.768
0.376 0.433 0.268
0.624 0.567 0.732
0.624 0.933 0.232
0.881 0.680 0.259
0.881 0.820 0.759
0.119 0.567 0.747
0.119 0.933 0.247
0.417 0.685 0.200
0.417 0.815 0.700
0.583 0.185 0.300
0.583 0.315 0.800
0.881 0.067 0.753
0.881 0.433 0.253
0.057 0.147 0.729
0.057 0.353 0.229
0.147 0.567 0.417
0.147 0.933 0.917
0.311 0.640 0.843
0.311 0.860 0.343
0.434 0.091 0.271
0.434 0.409 0.771
0.446 0.243 0.999
0.446 0.257 0.499
0.554 0.743 0.501
0.554 0.757 0.001
0.566 0.591 0.229
0.566 0.909 0.729
0.689 0.140 0.657
0.689 0.360 0.157
0.853 0.067 0.083
0.853 0.433 0.583
0.943 0.647 0.771
0.943 0.853 0.271
```

---

Run x
The following is a PBE-GGA calculation of a geometry-optimized K2Te2O5 structure, from the Alexandria database.

Structure (POSCAR):
```
K2Te2O5
1.0
6.872 -2.142 0.000
6.872 2.142 0.000
-1.853 0.000 5.905
K Te O
2 2 5
Direct
0.086 0.086 0.374
0.914 0.914 0.626
0.353 0.353 0.028
0.647 0.647 0.972
0.168 0.168 0.000
0.392 0.392 0.341
0.500 0.500 0.000
0.608 0.608 0.659
0.832 0.832 0.000
```

---

Energies relative to the most stable structure, in kJ/mol of atoms: run w 0.0; run x 14.1.

---

Run w
The following is a PBE-GGA calculation of a geometry-optimized K3TeO4 structure, from the Alexandria database.

Structure (POSCAR):
```
K3TeO4
1.0
-2.924 2.924 5.501
2.924 -2.924 5.501
2.924 2.924 -5.501
K Te O
3 1 4
Direct
0.000 0.000 0.000
0.250 0.750 0.500
0.750 0.250 0.500
0.500 0.500 0.000
0.206 0.206 0.616
0.409 0.794 0.000
0.591 0.591 0.384
0.794 0.409 0.000
```

---

Run x
The following is a PBE-GGA calculation of a geometry-optimized K3TeO4 structure, from the Alexandria database.

Structure (POSCAR):
```
K3TeO4
1.0
-3.130 4.619 3.111
3.130 -4.619 3.111
3.130 4.619 -3.111
K Te O
3 1 4
Direct
0.000 0.000 0.000
0.244 0.475 0.770
0.705 0.475 0.230
0.484 0.984 0.500
0.300 0.037 0.737
0.300 0.563 0.263
0.350 0.058 0.293
0.765 0.058 0.707
```

---

Energies relative to the most stable structure, in kJ/mol of atoms: run w 0.0; run x 2.6.